1.
Compound: Nd4DySn4
Source: Alexandria
Functional: PBE
Structure: optimized geometry

a b c (Å): 9.533 9.533 6.466
angles (deg): 90.00 90.00 90.00
Element x y z (fractional)
Nd 0.037 0.669 0.116
Nd 0.169 0.963 0.616
Nd 0.331 0.537 0.616
Nd 0.463 0.831 0.116
Nd 0.537 0.169 0.884
Nd 0.669 0.463 0.384
Nd 0.831 0.037 0.384
Nd 0.963 0.331 0.884
Dy 0.250 0.250 0.250
Dy 0.750 0.750 0.750
Sn 0.022 0.643 0.609
Sn 0.143 0.978 0.109
Sn 0.357 0.522 0.109
Sn 0.478 0.857 0.609
Sn 0.522 0.143 0.391
Sn 0.643 0.478 0.891
Sn 0.857 0.022 0.891
Sn 0.978 0.357 0.391

Computed properties:
Formation energy from the elements, eV per atom: -0.4865
Spin magnetization, Bohr magnetons per cell: 0.000
Uncorrected energy, eV per atom: -4.90
Fermi-level density of states, states/eV/cell: 15.08

---

2.
Compound: Nd9DySn2
Source: Alexandria
Functional: PBE
Structure: optimized geometry

a b c (Å): 4.985 4.985 15.335
angles (deg): 90.00 90.00 90.00
Element x y z (fractional)
Nd 0.000 0.000 0.000
Nd 0.000 0.000 0.339
Nd 0.000 0.000 0.661
Nd 0.000 0.500 0.175
Nd 0.000 0.500 0.500
Nd 0.000 0.500 0.825
Nd 0.500 0.000 0.175
Nd 0.500 0.000 0.500
Nd 0.500 0.000 0.825
Dy 0.500 0.500 0.000
Sn 0.500 0.500 0.338
Sn 0.500 0.500 0.662

Computed properties:
Formation energy from the elements, eV per atom: -0.2805
Spin magnetization, Bohr magnetons per cell: 0.000
Uncorrected energy, eV per atom: -4.91
Fermi-level density of states, states/eV/cell: 11.61

---

3.
Compound: Nd5DySn3
Source: Alexandria
Functional: PBE
Structure: optimized geometry

a b c (Å): 9.615 9.615 6.747
angles (deg): 90.00 90.00 120.00
Element x y z (fractional)
Nd 0.000 0.332 0.250
Nd 0.000 0.668 0.750
Nd 0.332 0.000 0.250
Nd 0.332 0.332 0.750
Nd 0.333 0.667 0.000
Nd 0.333 0.667 0.500
Nd 0.667 0.333 0.000
Nd 0.667 0.333 0.500
Nd 0.668 0.000 0.750
Nd 0.668 0.668 0.250
Dy 0.000 0.000 0.000
Dy 0.000 0.000 0.500
Sn 0.000 0.332 0.750
Sn 0.000 0.668 0.250
Sn 0.332 0.000 0.750
Sn 0.332 0.332 0.250
Sn 0.668 0.000 0.250
Sn 0.668 0.668 0.750

Computed properties:
Formation energy from the elements, eV per atom: -0.5606
Spin magnetization, Bohr magnetons per cell: 5.492
Uncorrected energy, eV per atom: -5.06
Fermi-level density of states, states/eV/cell: 18.97

---

4.
Compound: NdDySn2
Source: Alexandria
Functional: PBE
Structure: optimized geometry

a b c (Å): 4.918 4.918 4.530
angles (deg): 90.00 90.00 90.00
Element x y z (fractional)
Nd 0.000 0.000 0.000
Dy 0.500 0.500 0.000
Sn 0.000 0.500 0.500
Sn 0.500 0.000 0.500

Computed properties:
Formation energy from the elements, eV per atom: -0.6428
Spin magnetization, Bohr magnetons per cell: 0.000
Uncorrected energy, eV per atom: -4.99
Fermi-level density of states, states/eV/cell: 3.57

---

5.
Compound: Nd12DySn3
Source: Alexandria
Functional: PBE
Structure: optimized geometry

a b c (Å): 4.980 4.980 20.264
angles (deg): 90.00 90.00 90.00
Element x y z (fractional)
Nd 0.000 0.000 0.000
Nd 0.000 0.000 0.243
Nd 0.000 0.000 0.500
Nd 0.000 0.000 0.757
Nd 0.000 0.500 0.121
Nd 0.000 0.500 0.367
Nd 0.000 0.500 0.633
Nd 0.000 0.500 0.879
Nd 0.500 0.000 0.121
Nd 0.500 0.000 0.367
Nd 0.500 0.000 0.633
Nd 0.500 0.000 0.879
Dy 0.500 0.500 0.500
Sn 0.500 0.500 0.000
Sn 0.500 0.500 0.244
Sn 0.500 0.500 0.756

Computed properties:
Formation energy from the elements, eV per atom: -0.3223
Spin magnetization, Bohr magnetons per cell: 0.000
Uncorrected energy, eV per atom: -4.94
Fermi-level density of states, states/eV/cell: 17.10

---

6.
Compound: NdDySn2
Source: Alexandria
Functional: PBE
Structure: optimized geometry

a b c (Å): 4.354 6.233 6.233
angles (deg): 43.15 90.00 90.00
Element x y z (fractional)
Nd 0.000 0.000 0.000
Dy 0.500 0.730 0.730
Sn 0.000 0.273 0.273
Sn 0.500 0.456 0.456

Computed properties:
Formation energy from the elements, eV per atom: -0.7490
Spin magnetization, Bohr magnetons per cell: 0.000
Uncorrected energy, eV per atom: -5.09
Fermi-level density of states, states/eV/cell: 2.98

---

7.
Compound: Nd2DySn
Source: Alexandria
Functional: PBE
Structure: optimized geometry

a b c (Å): 4.878 4.878 4.965
angles (deg): 90.00 90.00 90.00
Element x y z (fractional)
Nd 0.000 0.500 0.000
Nd 0.500 0.000 0.000
Dy 0.000 0.000 0.500
Sn 0.500 0.500 0.500

Computed properties:
Formation energy from the elements, eV per atom: -0.4359
Spin magnetization, Bohr magnetons per cell: 0.000
Uncorrected energy, eV per atom: -4.97
Fermi-level density of states, states/eV/cell: 4.05

---

8.
Compound: NdDy2Sn2
Source: Alexandria
Functional: PBE
Structure: optimized geometry

a b c (Å): 4.618 4.618 7.714
angles (deg): 107.25 107.25 90.12
Element x y z (fractional)
Nd 0.000 0.000 0.000
Dy 0.250 0.750 0.500
Dy 0.750 0.250 0.500
Sn 0.398 0.398 0.800
Sn 0.602 0.602 0.200

Computed properties:
Formation energy from the elements, eV per atom: -0.5079
Spin magnetization, Bohr magnetons per cell: 0.000
Uncorrected energy, eV per atom: -4.90
Fermi-level density of states, states/eV/cell: 4.85

---

9.
Compound: NdDy2Sn
Source: Alexandria
Functional: PBE
Structure: optimized geometry

a b c (Å): 4.674 4.726 11.524
angles (deg): 90.00 101.66 90.00
Element x y z (fractional)
Nd 0.193 0.250 0.387
Nd 0.807 0.750 0.613
Dy 0.059 0.750 0.117
Dy 0.436 0.750 0.873
Dy 0.564 0.250 0.127
Dy 0.941 0.250 0.883
Sn 0.338 0.250 0.674
Sn 0.662 0.750 0.326

Computed properties:
Formation energy from the elements, eV per atom: -0.4128
Spin magnetization, Bohr magnetons per cell: 0.002
Uncorrected energy, eV per atom: -4.91
Fermi-level density of states, states/eV/cell: 10.29

---

10.
Compound: NdDy3Sn3
Source: Alexandria
Functional: PBE
Structure: optimized geometry

a b c (Å): 9.241 9.241 5.392
angles (deg): 90.00 90.00 120.00
Element x y z (fractional)
Nd 0.333 0.667 0.250
Nd 0.667 0.333 0.750
Dy 0.002 0.763 0.250
Dy 0.237 0.239 0.250
Dy 0.239 0.002 0.750
Dy 0.761 0.998 0.250
Dy 0.763 0.761 0.750
Dy 0.998 0.237 0.750
Sn 0.073 0.624 0.750
Sn 0.376 0.449 0.750
Sn 0.449 0.073 0.250
Sn 0.551 0.927 0.750
Sn 0.624 0.551 0.250
Sn 0.927 0.376 0.250

Computed properties:
Formation energy from the elements, eV per atom: -0.5481
Spin magnetization, Bohr magnetons per cell: 0.000
Uncorrected energy, eV per atom: -4.92
Fermi-level density of states, states/eV/cell: 13.80

---

11.
Compound: Nd3DySn2
Source: Alexandria
Functional: PBE
Structure: optimized geometry

a b c (Å): 4.637 4.637 8.748
angles (deg): 90.00 90.00 90.00
Element x y z (fractional)
Nd 0.000 0.000 0.000
Nd 0.000 0.500 0.650
Nd 0.500 0.000 0.350
Dy 0.500 0.500 0.000
Sn 0.000 0.500 0.277
Sn 0.500 0.000 0.723

Computed properties:
Formation energy from the elements, eV per atom: -0.5770
Spin magnetization, Bohr magnetons per cell: 0.000
Uncorrected energy, eV per atom: -5.06
Fermi-level density of states, states/eV/cell: 7.64

---

12.
Compound: NdDy2Sn9
Source: Alexandria
Functional: PBE
Structure: optimized geometry

a b c (Å): 4.708 4.708 14.379
angles (deg): 90.00 90.00 90.00
Element x y z (fractional)
Nd 0.000 0.000 0.000
Dy 0.000 0.000 0.334
Dy 0.000 0.000 0.666
Sn 0.000 0.500 0.171
Sn 0.000 0.500 0.500
Sn 0.000 0.500 0.829
Sn 0.500 0.000 0.171
Sn 0.500 0.000 0.500
Sn 0.500 0.000 0.829
Sn 0.500 0.500 0.000
Sn 0.500 0.500 0.336
Sn 0.500 0.500 0.664

Computed properties:
Formation energy from the elements, eV per atom: -0.4461
Spin magnetization, Bohr magnetons per cell: 0.000
Uncorrected energy, eV per atom: -4.61
Fermi-level density of states, states/eV/cell: 7.63

---

13.
Compound: Nd5DySn4
Source: Alexandria
Functional: PBE
Structure: optimized geometry

a b c (Å): 8.723 8.723 7.280
angles (deg): 90.63 90.63 36.22
Element x y z (fractional)
Nd 0.000 0.000 0.000
Nd 0.333 0.333 0.493
Nd 0.334 0.334 0.003
Nd 0.666 0.666 0.997
Nd 0.667 0.667 0.507
Dy 0.000 0.000 0.500
Sn 0.173 0.173 0.749
Sn 0.492 0.492 0.743
Sn 0.508 0.508 0.257
Sn 0.827 0.827 0.251

Computed properties:
Formation energy from the elements, eV per atom: -0.5528
Spin magnetization, Bohr magnetons per cell: 0.000
Uncorrected energy, eV per atom: -5.00
Fermi-level density of states, states/eV/cell: 6.46

---

14.
Compound: NdDySn
Source: Alexandria
Functional: PBE
Structure: optimized geometry

a b c (Å): 8.270 4.595 9.733
angles (deg): 90.00 90.00 90.00
Element x y z (fractional)
Nd 0.039 0.250 0.168
Nd 0.461 0.750 0.668
Nd 0.539 0.250 0.332
Nd 0.961 0.750 0.832
Dy 0.134 0.250 0.566
Dy 0.366 0.750 0.066
Dy 0.634 0.250 0.934
Dy 0.866 0.750 0.434
Sn 0.248 0.750 0.368
Sn 0.252 0.250 0.868
Sn 0.748 0.750 0.132
Sn 0.752 0.250 0.632

Computed properties:
Formation energy from the elements, eV per atom: -0.5886
Spin magnetization, Bohr magnetons per cell: 5.665
Uncorrected energy, eV per atom: -5.05
Fermi-level density of states, states/eV/cell: 12.43

---

15.
Compound: Nd3DySn4
Source: Alexandria
Functional: PBE
Structure: optimized geometry

a b c (Å): 9.811 9.811 9.811
angles (deg): 157.18 136.98 49.24
Element x y z (fractional)
Nd 0.000 0.000 0.000
Nd 0.291 0.791 0.500
Nd 0.709 0.209 0.500
Dy 0.500 0.500 0.000
Sn 0.079 0.372 0.707
Sn 0.335 0.628 0.707
Sn 0.665 0.372 0.293
Sn 0.921 0.628 0.293

Computed properties:
Formation energy from the elements, eV per atom: -0.5672
Spin magnetization, Bohr magnetons per cell: 0.000
Uncorrected energy, eV per atom: -4.93
Fermi-level density of states, states/eV/cell: 4.56

---

16.
Compound: Nd2DySn
Source: Alexandria
Functional: PBE
Structure: optimized geometry

a b c (Å): 12.238 12.238 12.238
angles (deg): 16.50 16.50 16.50
Element x y z (fractional)
Nd 0.093 0.093 0.093
Nd 0.907 0.907 0.907
Dy 0.000 0.000 0.000
Sn 0.500 0.500 0.500

Computed properties:
Formation energy from the elements, eV per atom: 0.0000
Spin magnetization, Bohr magnetons per cell: 0.659
Uncorrected energy, eV per atom: -4.54
Fermi-level density of states, states/eV/cell: 6.68

---

17.
Compound: NdDyTlSn
Source: Alexandria
Functional: PBE
Structure: optimized geometry

a b c (Å): 5.433 5.433 5.433
angles (deg): 60.00 60.00 60.00
Element x y z (fractional)
Nd 0.000 0.000 0.000
Dy 0.500 0.500 0.500
Tl 0.250 0.250 0.250
Sn 0.750 0.750 0.750

Computed properties:
Formation energy from the elements, eV per atom: -0.4756
Spin magnetization, Bohr magnetons per cell: 0.000
Uncorrected energy, eV per atom: -4.41
Fermi-level density of states, states/eV/cell: 2.75

---

18.
Compound: NdDyTlSn
Source: Alexandria
Functional: PBE
Structure: optimized geometry

a b c (Å): 4.391 6.266 6.266
angles (deg): 43.40 90.00 90.00
Element x y z (fractional)
Nd 0.000 0.000 0.000
Dy 0.500 0.729 0.729
Tl 0.500 0.455 0.455
Sn 0.000 0.275 0.275

Computed properties:
Formation energy from the elements, eV per atom: -0.5507
Spin magnetization, Bohr magnetons per cell: 0.000
Uncorrected energy, eV per atom: -4.49
Fermi-level density of states, states/eV/cell: 3.70

---

19.
Compound: NdDy2Zn2Sn2
Source: Alexandria
Functional: PBE
Structure: optimized geometry

a b c (Å): 9.770 9.770 9.770
angles (deg): 27.66 27.66 27.66
Element x y z (fractional)
Nd 0.000 0.000 0.000
Dy 0.132 0.132 0.132
Dy 0.868 0.868 0.868
Zn 0.422 0.422 0.422
Zn 0.578 0.578 0.578
Sn 0.265 0.265 0.265
Sn 0.735 0.735 0.735

Computed properties:
Formation energy from the elements, eV per atom: -0.3532
Spin magnetization, Bohr magnetons per cell: 0.000
Uncorrected energy, eV per atom: -3.86
Fermi-level density of states, states/eV/cell: 7.30

---

20.
Compound: SrNd12Dy6
Source: Alexandria
Functional: PBE
Structure: optimized geometry

a b c (Å): 8.929 8.929 8.929
angles (deg): 98.28 98.28 98.28
Element x y z (fractional)
Sr 0.000 0.000 0.000
Nd 0.086 0.360 0.360
Nd 0.238 0.500 0.762
Nd 0.238 0.762 0.500
Nd 0.360 0.086 0.360
Nd 0.360 0.360 0.086
Nd 0.500 0.238 0.762
Nd 0.500 0.762 0.238
Nd 0.640 0.640 0.914
Nd 0.640 0.914 0.640
Nd 0.762 0.238 0.500
Nd 0.762 0.500 0.238
Nd 0.914 0.640 0.640
Dy 0.101 0.101 0.652
Dy 0.101 0.652 0.101
Dy 0.348 0.899 0.899
Dy 0.652 0.101 0.101
Dy 0.899 0.348 0.899
Dy 0.899 0.899 0.348

Computed properties:
Formation energy from the elements, eV per atom: 0.1945
Spin magnetization, Bohr magnetons per cell: 0.001
Uncorrected energy, eV per atom: -4.36
Fermi-level density of states, states/eV/cell: 30.87

---

21.
Compound: SrNdDy
Source: Alexandria
Functional: PBE
Structure: optimized geometry

a b c (Å): 8.556 8.556 8.556
angles (deg): 154.52 154.52 36.35
Element x y z (fractional)
Sr 0.000 0.000 0.000
Nd 0.682 0.682 0.000
Dy 0.322 0.322 0.000

Computed properties:
Formation energy from the elements, eV per atom: 0.1078
Spin magnetization, Bohr magnetons per cell: 0.000
Uncorrected energy, eV per atom: -3.58
Fermi-level density of states, states/eV/cell: 4.13

---

22.
Compound: SrNd2Dy
Source: Alexandria
Functional: PBE
Structure: optimized geometry

a b c (Å): 5.302 5.302 5.275
angles (deg): 90.00 90.00 90.00
Element x y z (fractional)
Sr 0.000 0.000 0.000
Nd 0.000 0.500 0.500
Nd 0.500 0.000 0.500
Dy 0.500 0.500 0.000

Computed properties:
Formation energy from the elements, eV per atom: 0.1668
Spin magnetization, Bohr magnetons per cell: 0.000
Uncorrected energy, eV per atom: -3.79
Fermi-level density of states, states/eV/cell: 6.55

---

23.
Compound: SrNdDy
Source: Alexandria
Functional: PBE
Structure: optimized geometry

a b c (Å): 3.775 3.775 18.892
angles (deg): 90.00 90.00 120.00
Element x y z (fractional)
Sr 0.000 0.000 0.102
Sr 0.000 0.000 0.898
Nd 0.333 0.667 0.580
Nd 0.667 0.333 0.420
Dy 0.333 0.667 0.271
Dy 0.667 0.333 0.729

Computed properties:
Formation energy from the elements, eV per atom: 0.1351
Spin magnetization, Bohr magnetons per cell: 0.000
Uncorrected energy, eV per atom: -3.55
Fermi-level density of states, states/eV/cell: 9.30